Record 1
6
Lattice="5.5310 -0.6383 0.1877 2.3046 -3.1782 3.9525 2.2859 -4.8988 -1.3460" Properties=species:S:1:pos:R:3 comment="PBE-GGA SmS2, relaxed" e_tot_ev_per_atom=-4.4883 raw_formation_energy_ev_per_atom=-0.16 pbc="T T T"
S 4.0307 -1.4085 0.4431
S 1.2652 -1.0894 0.3493
S 2.4175 -2.6785 2.3256
S 2.4082 -3.5388 -0.3237
Sm 5.0608 -4.3576 1.3971
Sm 7.5912 -6.5364 2.0957


Record 2
8
Lattice="-1.7008 2.7808 -3.1939 -2.4471 -4.1997 -2.3534 -3.9237 0.6620 2.8985" Properties=species:S:1:pos:R:3 comment="PBE-GGA Al2TcW, relaxed" e_tot_ev_per_atom=-7.8616 ef_mev_per_atom=-161 pbc="T T T"
W -6.0458 -1.4883 -0.3806
W -4.8109 0.6311 0.8071
Al -3.4099 -0.8058 -1.2126
Al -4.3278 1.7348 -1.7170
Al -5.5422 -0.3493 -2.8848
Al -1.8455 2.4934 -2.5304
Tc -2.3217 1.2762 0.1367
Tc -2.9437 0.3919 -3.8346


Record 3
18
Lattice="8.0237 -0.2330 -0.1653 3.7599 7.0921 -0.1653 3.7599 2.1886 6.7480" Properties=species:S:1:pos:R:3 comment="PBE-GGA Ac2SmGe3Pt12, relaxed" e_tot_ev_per_atom=-5.9085 ef_mev_per_atom=-393 pbc="T T T"
Pt 7.9748 4.6420 0.4281
Pt 3.9467 4.5322 0.8466
Pt 11.5969 4.5154 5.5708
Pt 7.9748 1.9386 4.2394
Pt 9.9195 3.0706 2.1780
Pt 7.5688 7.1090 2.1780
Pt 9.6535 7.8541 5.5708
Pt 7.5688 4.4057 5.9893
Pt 3.9467 2.2973 3.9975
Pt 5.6241 5.9770 4.2394
Pt 5.8901 1.1936 0.8466
Pt 11.5969 6.7504 2.4199
Ge 4.0119 -0.1165 -0.0826
Ge 1.8800 1.0943 3.3740
Ge 1.8800 3.5460 -0.0826
Sm 0.0000 0.0000 0.0000
Ac 9.3641 5.4507 3.8661
Ac 6.1795 3.5970 2.5513


Record 4
4
Lattice="-5.0700 -1.9631 1.0869 -0.9005 -5.3431 -1.1749 3.8452 2.9181 2.7276" Properties=species:S:1:pos:R:3 comment="PBE-GGA Ca2NiRh, relaxed" e_tot_ev_per_atom=-4.2807 ef_mev_per_atom=3 pbc="T T T"
Rh -2.1051 -1.3491 1.8853
Ca 0.0000 0.0000 0.0000
Ca -0.0203 -3.0391 0.7543
Ni -2.9853 -3.6531 -0.0440


Record 5
8
Lattice="6.6842 0.0000 0.0000 0.0000 6.6842 0.0000 0.0000 0.0000 3.6062" Properties=species:S:1:pos:R:3 comment="PBE-GGA YC, relaxed" e_tot_ev_per_atom=-7.8613 ef_mev_per_atom=-17 pbc="T T T"
Y 1.6814 5.0028 1.8031
Y 5.0028 1.6814 1.8031
Y 1.6607 1.6607 0.0000
Y 5.0235 5.0235 0.0000
C 0.4744 0.4744 1.8031
C 6.2098 6.2098 1.8031
C 3.8166 2.8677 0.0000
C 2.8677 3.8166 0.0000